DFT (PBE) results for a relaxed structure of Sm4GaHgAu2.

abc: 5.237 5.237 9.093
angles: 73.27 73.27 60.00
Fractional positions:
Sm  0.622  0.622  0.133
Sm  0.378  0.378  0.867
Sm  0.128  0.128  0.617
Ga  0.500  0.500  0.500
Sm  0.872  0.872  0.383
Hg  0.000  0.000  0.000
Au  0.748  0.748  0.755
Au  0.252  0.252  0.245

Calculated values
Energy of formation from the pure elements = -0.630 eV/atom
Density of states at the Fermi level = 7.9 states/eV/cell


DFT (PBE) results for a relaxed structure of GaSnHgAu.

abc: 5.036 5.036 5.036
angles: 60.00 60.00 60.00
Fractional positions:
Hg  0.000  0.000  0.000
Ga  0.750  0.750  0.750
Sn  0.250  0.250  0.250
Au  0.500  0.500  0.500

Calculated values
Energy of formation from the pure elements = 0.060 eV/atom
Density of states at the Fermi level = 1.6 states/eV/cell


DFT (PBE) results for a relaxed structure of SrGaHg2Au.

abc: 5.261 5.261 5.041
angles: 90.00 90.00 90.00
Fractional positions:
Au  0.000  0.000  0.500
Sr  0.500  0.500  0.500
Hg  0.000  0.500  0.000
Hg  0.500  0.000  0.000
Ga  0.000  0.000  0.000

Calculated values
Energy of formation from the pure elements = -0.257 eV/atom
Polymorph energy (0 for the lowest one) = 0 meV/atom
Density of states at the Fermi level = 2.1 states/eV/cell


DFT (PBE) results for a relaxed structure of SrGaHgAu2.

abc: 5.009 5.009 5.239
angles: 90.00 90.00 90.00
Fractional positions:
Au  0.500  0.000  0.000
Au  0.000  0.500  0.000
Hg  0.000  0.000  0.500
Sr  0.500  0.500  0.500
Ga  0.000  0.000  0.000

Calculated values
Energy of formation from the pure elements = -0.333 eV/atom
Density of states at the Fermi level = 2.6 states/eV/cell


DFT (PBE) results for a relaxed structure of Sr2Ga4HgAu3.

abc: 4.571 4.571 10.816
angles: 90.00 90.00 90.00
Fractional positions:
Ga  0.500  0.000  0.636
Au  0.500  0.000  0.874
Ga  0.000  0.000  0.000
Sr  0.500  0.000  0.246
Ga  0.500  0.500  0.000
Au  0.000  0.500  0.126
Au  0.000  0.000  0.500
Ga  0.000  0.500  0.364
Sr  0.000  0.500  0.754
Hg  0.500  0.500  0.500

Calculated values
Energy of formation from the pure elements = -0.531 eV/atom
Density of states at the Fermi level = 4.0 states/eV/cell


DFT (PBE) results for a relaxed structure of SrGa2HgAu5.

abc: 5.014 5.014 7.837
angles: 90.00 90.00 90.00
Fractional positions:
Au  0.500  0.000  0.748
Ga  0.500  0.500  0.840
Au  0.500  0.000  0.252
Au  0.000  0.500  0.252
Au  0.000  0.500  0.748
Sr  0.000  0.000  0.500
Au  0.500  0.500  0.500
Hg  0.000  0.000  0.000
Ga  0.500  0.500  0.160

Calculated values
Energy of formation from the pure elements = -0.262 eV/atom
Density of states at the Fermi level = 3.5 states/eV/cell


DFT (PBE) results for a relaxed structure of SrGa2HgAu2.

abc: 4.628 4.628 7.277
angles: 90.00 90.00 120.00
Fractional positions:
Ga  0.667  0.333  0.285
Hg  0.000  0.000  0.500
Sr  0.000  0.000  0.000
Au  0.667  0.333  0.712
Au  0.333  0.667  0.288
Ga  0.333  0.667  0.715

Calculated values
Energy of formation from the pure elements = -0.395 eV/atom
Density of states at the Fermi level = 3.2 states/eV/cell


DFT (PBE) results for a relaxed structure of SrGaHg2Au.

abc: 6.221 6.281 6.221
angles: 90.00 90.00 90.00
Fractional positions:
Au  0.500  0.500  0.500
Ga  0.000  0.500  0.000
Hg  0.000  0.000  0.500
Sr  0.000  0.000  0.000
Hg  0.500  0.000  0.000

Calculated values
Energy of formation from the pure elements = 0.623 eV/atom
Polymorph energy (0 for the lowest one) = 880 meV/atom
Density of states at the Fermi level = 3.7 states/eV/cell


| no. | raw total energy (eV/cell) |
| --- | --- |
| 1 | -33.80 |
| 2 | -10.37 |
| 3 | -9.88 |
| 4 | -13.23 |
| 5 | -30.92 |
| 6 | -26.78 |
| 7 | -16.97 |
| 8 | -5.47 |